Cd3GeO: relaxed, PBE-GGA.

a b c (Å): 5.0946 5.0946 5.0946
angles (deg): 90.00 90.00 90.00
Each line ends with the local moment (μB).
Element x y z (fractional)
Ge: 0.0000 0.0000 0.0000  -0.01
O: 0.5000 0.5000 0.5000  0.12
Cd: 0.0000 0.5000 0.0000  -0.01
Cd: 0.0000 0.0000 0.5000  -0.02
Cd: 0.5000 0.0000 0.0000  0.00

Output
M_tot = 0.1 μB per cell
Fermi-level density of states = 3.2 states/eV/f.u.
energy relative to the lowest polymorph listed for this composition = 0.5746 eV per atom
uncorrected formation energy = 11.89 kcal/mol of atoms

Cd2GeOsO6: relaxed, PBE-GGA.

a b c (Å): 4.8402 5.2440 5.2440
angles (deg): 90.00 90.00 90.00
Each line ends with the local moment (μB).
Element x y z (fractional)
Cd: 0.0287 0.5000 0.0000  0.00
Cd: 0.0287 0.0000 0.5000  0.00
Ge: 0.5678 0.0000 0.0000  0.04
Os: 0.6005 0.5000 0.5000  1.30
O: 0.7021 0.2439 0.2439  0.06
O: 0.7021 0.2439 0.7561  0.06
O: 0.2110 0.5000 0.5000  0.18
O: 0.2017 0.0000 0.0000  0.02
O: 0.7021 0.7561 0.7561  0.06
O: 0.7021 0.7561 0.2439  0.06

Output
M_tot = 1.9 μB per cell
Fermi-level density of states = 4.1 states/eV/f.u.
uncorrected formation energy = -20.07 kcal/mol of atoms

CdGeOsO6: relaxed, PBE-GGA.

a b c (Å): 5.1340 5.1340 9.7299
angles (deg): 90.00 90.00 120.00
Each line ends with the local moment (μB).
Element x y z (fractional)
Cd: 0.0000 0.0000 0.0000  0.02
Cd: 0.0000 0.0000 0.5000  0.02
Ge: 0.6667 0.3333 0.2500  0.04
Ge: 0.3333 0.6667 0.7500  0.04
Os: 0.3333 0.6667 0.2500  1.26
Os: 0.6667 0.3333 0.7500  1.26
O: 0.6293 0.6271 0.1419  0.07
O: 0.9978 0.3707 0.1419  0.07
O: 0.3707 0.9978 0.6419  0.07
O: 0.0022 0.6293 0.8581  0.07
O: 0.3729 0.3707 0.3581  0.07
O: 0.9978 0.6271 0.3581  0.07
O: 0.6271 0.9978 0.8581  0.07
O: 0.6293 0.0022 0.3581  0.07
O: 0.0022 0.3729 0.6419  0.07
O: 0.3729 0.0022 0.1419  0.07
O: 0.6271 0.6293 0.6419  0.07
O: 0.3707 0.3729 0.8581  0.07

Output
M_tot = 3.9 μB per cell
Fermi-level density of states = 3.7 states/eV/f.u.
uncorrected formation energy = -27.07 kcal/mol of atoms

Cd5GeP2O12: relaxed, PBE-GGA.

a b c (Å): 6.9275 10.4448 15.2415
angles (deg): 90.00 90.00 90.00
Element x y z (fractional)
Cd: 0.0779 0.6656 0.8628
Cd: 0.5779 0.8344 0.1372
Cd: 0.4221 0.3344 0.3628
Cd: 0.9221 0.1656 0.6372
Cd: 0.4027 0.3320 0.6448
Cd: 0.9027 0.1680 0.3552
Cd: 0.0973 0.6680 0.1448
Cd: 0.5973 0.8320 0.8552
Cd: 0.1920 0.7235 0.4927
Cd: 0.6921 0.7765 0.5073
Cd: 0.3080 0.2765 0.9927
Cd: 0.8079 0.2235 0.0073
Cd: 0.8928 0.5566 0.6655
Cd: 0.3928 0.9434 0.3345
Cd: 0.6072 0.4434 0.1655
Cd: 0.1072 0.0566 0.8345
Cd: 0.6037 0.4508 0.8470
Cd: 0.1037 0.0492 0.1530
Cd: 0.8963 0.5492 0.3470
Cd: 0.3963 0.9508 0.6530
Ge: 0.8998 0.8623 0.6751
Ge: 0.3998 0.6377 0.3249
Ge: 0.6002 0.1377 0.1751
Ge: 0.1002 0.3623 0.8249
P: 0.2393 0.0883 0.4955
P: 0.7393 0.4117 0.5045
P: 0.2607 0.9117 0.9955
P: 0.7607 0.5883 0.0045
P: 0.6096 0.1254 0.8125
P: 0.1096 0.3746 0.1875
P: 0.8904 0.8746 0.3125
P: 0.3904 0.6254 0.6875
O: 0.0791 0.9811 0.6931
O: 0.5791 0.5189 0.3069
O: 0.4209 0.0189 0.1931
O: 0.9209 0.4811 0.8069
O: 0.4327 0.0324 0.7976
O: 0.9327 0.4676 0.2024
O: 0.0673 0.9676 0.2976
O: 0.5673 0.5324 0.7024
O: 0.9651 0.7440 0.5945
O: 0.4651 0.7560 0.4055
O: 0.5349 0.2560 0.0945
O: 0.0349 0.2440 0.9055
O: 0.5697 0.2211 0.8896
O: 0.0697 0.2789 0.1104
O: 0.9303 0.7789 0.3896
O: 0.4303 0.7211 0.6104
O: 0.7086 0.9417 0.6183
O: 0.2086 0.5583 0.3817
O: 0.7914 0.0583 0.1183
O: 0.2914 0.4417 0.8817
O: 0.7765 0.0328 0.8370
O: 0.2765 0.4672 0.1630
O: 0.7235 0.9672 0.3370
O: 0.2235 0.5328 0.6630
O: 0.0191 0.1199 0.4929
O: 0.5191 0.3801 0.5071
O: 0.4809 0.8801 0.9929
O: 0.9809 0.6199 0.0071
O: 0.3297 0.1465 0.5795
O: 0.8297 0.3535 0.4205
O: 0.1703 0.8535 0.0795
O: 0.6703 0.6465 0.9205
O: 0.1640 0.8637 0.9091
O: 0.6640 0.6363 0.0909
O: 0.3360 0.1363 0.4091
O: 0.8360 0.3637 0.5909
O: 0.2775 0.9418 0.5015
O: 0.7775 0.5582 0.4985
O: 0.2225 0.0582 0.0015
O: 0.7225 0.4418 0.9985
O: 0.8454 0.7658 0.7672
O: 0.3454 0.7342 0.2328
O: 0.6546 0.2342 0.2672
O: 0.1546 0.2658 0.7328
O: 0.6512 0.2059 0.7284
O: 0.1512 0.2941 0.2716
O: 0.8488 0.7941 0.2284
O: 0.3488 0.7059 0.7716

Output
M_tot = 0.0 μB per cell
Fermi-level density of states = 0.0 states/eV/f.u.
uncorrected formation energy = -38.07 kcal/mol of atoms

CdGeP2O8: relaxed, PBE-GGA.

a b c (Å): 4.7387 4.7387 7.0010
angles (deg): 91.13 91.13 66.48
Element x y z (fractional)
Cd: 0.0000 0.0000 0.5000
Ge: 0.0000 0.0000 0.0000
P: 0.6521 0.6521 0.2177
P: 0.3479 0.3479 0.7823
O: 0.7105 0.2190 0.8007
O: 0.7714 0.7714 0.0474
O: 0.7321 0.7321 0.4159
O: 0.2679 0.2679 0.5841
O: 0.2286 0.2286 0.9526
O: 0.2190 0.7105 0.8007
O: 0.7810 0.2895 0.1993
O: 0.2895 0.7810 0.1993

Output
M_tot = 0.0 μB per cell
Fermi-level density of states = 0.0 states/eV/f.u.
uncorrected formation energy = -43.63 kcal/mol of atoms

PaCdGeO: relaxed, PBE-GGA.

a b c (Å): 4.0211 4.0211 9.0565
angles (deg): 90.00 90.00 90.00
Each line ends with the local moment (μB).
Element x y z (fractional)
Pa: 0.5000 0.0000 0.6423  0.67
Pa: 0.0000 0.5000 0.3577  0.67
Cd: 0.5000 0.5000 0.0000  0.01
Cd: 0.0000 0.0000 0.0000  0.01
Ge: 0.0000 0.5000 0.7806  -0.01
Ge: 0.5000 0.0000 0.2194  -0.01
O: 0.0000 0.0000 0.5000  -0.02
O: 0.5000 0.5000 0.5000  -0.02

Output
M_tot = 1.5 μB per cell
Fermi-level density of states = 3.8 states/eV/f.u.
uncorrected formation energy = -31.91 kcal/mol of atoms

CdGePbO4: relaxed, PBE-GGA.

a b c (Å): 6.1976 5.8048 6.9601
angles (deg): 90.00 99.88 90.00
Element x y z (fractional)
Cd: 0.8349 0.7500 0.4006
Cd: 0.1651 0.2500 0.5994
Ge: 0.3187 0.7500 0.3812
Ge: 0.6813 0.2500 0.6188
Pb: 0.7029 0.7500 0.8669
Pb: 0.2971 0.2500 0.1331
O: 0.8707 0.4893 0.6681
O: 0.1293 0.9893 0.3319
O: 0.1293 0.5107 0.3319
O: 0.8707 0.0107 0.6681
O: 0.5069 0.7500 0.2167
O: 0.4931 0.2500 0.7833
O: 0.4197 0.7500 0.6312
O: 0.5803 0.2500 0.3688

Output
M_tot = 0.0 μB per cell
Fermi-level density of states = 0.0 states/eV/f.u.
uncorrected formation energy = -30.28 kcal/mol of atoms

Cd2GePbO4: relaxed, PBE-GGA.

a b c (Å): 5.4087 5.4087 6.1071
angles (deg): 116.25 116.25 90.05
Element x y z (fractional)
Cd: 0.7501 0.2500 0.5002
Cd: 0.2500 0.7501 0.5002
Ge: 0.5000 0.5000 0.0000
Pb: 0.0002 0.0002 0.0004
O: 0.5799 0.5799 0.7758
O: 0.4203 0.8038 0.2241
O: 0.8038 0.4203 0.2241
O: 0.1960 0.1960 0.7758

Output
M_tot = 0.0 μB per cell
Fermi-level density of states = 0.9 states/eV/f.u.
uncorrected formation energy = -24.19 kcal/mol of atoms

CdGePb2O5: relaxed, PBE-GGA.

a b c (Å): 3.3074 7.9847 11.7066
angles (deg): 90.00 90.00 101.95
Element x y z (fractional)
Cd: 0.8129 0.6258 0.5329
Cd: 0.1871 0.3742 0.0329
Ge: 0.5270 0.0539 0.9231
Ge: 0.4730 0.9461 0.4231
Pb: 0.8442 0.6884 0.8195
Pb: 0.1382 0.2764 0.6473
Pb: 0.1558 0.3116 0.3195
Pb: 0.8618 0.7236 0.1473
O: 0.3331 0.6663 0.0177
O: 0.6394 0.2788 0.9107
O: 0.4618 0.9236 0.8021
O: 0.2913 0.5827 0.6721
O: 0.9923 0.9846 0.4986
O: 0.6669 0.3337 0.5177
O: 0.3606 0.7212 0.4107
O: 0.5382 0.0764 0.3021
O: 0.7087 0.4173 0.1721
O: 0.0077 0.0154 0.9986

Output
M_tot = 0.0 μB per cell
uncorrected formation energy = -27.67 kcal/mol of atoms

Cd2GePbO6: relaxed, PBE-GGA.

a b c (Å): 5.1441 5.3128 5.3128
angles (deg): 90.00 90.00 90.00
Element x y z (fractional)
Cd: 0.9974 0.5000 0.0000
Cd: 0.9974 0.0000 0.5000
Ge: 0.5911 0.0000 0.0000
Pb: 0.5551 0.5000 0.5000
O: 0.7259 0.2360 0.2360
O: 0.7259 0.2360 0.7640
O: 0.1543 0.5000 0.5000
O: 0.2477 0.0000 0.0000
O: 0.7259 0.7640 0.7640
O: 0.7259 0.7640 0.2360

Output
M_tot = 0.0 μB per cell
Fermi-level density of states = 1.2 states/eV/f.u.
uncorrected formation energy = -22.54 kcal/mol of atoms

CdGe2PdO6: relaxed, PBE-GGA.

a b c (Å): 5.7732 7.1738 7.1738
angles (deg): 84.52 75.12 75.12
Element x y z (fractional)
Cd: 0.2500 0.8999 0.1001
Cd: 0.7500 0.1001 0.8999
Ge: 0.2845 0.7852 0.6172
Ge: 0.2155 0.3828 0.2148
Ge: 0.7155 0.2148 0.3828
Ge: 0.7845 0.6172 0.7852
Pd: 0.2500 0.2692 0.7308
Pd: 0.7500 0.7308 0.2692
O: 0.1618 0.9662 0.7899
O: 0.3382 0.2101 0.0338
O: 0.8382 0.0338 0.2101
O: 0.6618 0.7899 0.9662
O: 0.3933 0.8667 0.3777
O: 0.1067 0.6223 0.1333
O: 0.6067 0.1333 0.6223
O: 0.8933 0.3777 0.8667
O: 0.0499 0.6645 0.6106
O: 0.4501 0.3894 0.3355
O: 0.9501 0.3355 0.3894
O: 0.5499 0.6106 0.6645

Output
M_tot = 0.0 μB per cell
Fermi-level density of states = 1.8 states/eV/f.u.
uncorrected formation energy = -26.99 kcal/mol of atoms

Pm2CdGeO6: relaxed, PBE-GGA.

a b c (Å): 5.0838 5.3711 5.3711
angles (deg): 90.00 90.00 90.00
Element x y z (fractional)
Pm: 0.0002 0.5000 0.0000
Pm: 0.0002 0.0000 0.5000
Cd: 0.5411 0.5000 0.5000
Ge: 0.6025 0.0000 0.0000
O: 0.7328 0.2310 0.2310
O: 0.7328 0.2310 0.7690
O: 0.1233 0.5000 0.5000
O: 0.2482 0.0000 0.0000
O: 0.7328 0.7690 0.7690
O: 0.7328 0.7690 0.2310

Output
M_tot = 0.0 μB per cell
Fermi-level density of states = 0.0 states/eV/f.u.
uncorrected formation energy = -53.24 kcal/mol of atoms